1.
Below is FeSiPS2 after structural relaxation, with properties calculated at the PBE-GGA level.

formation energy without anion corrections = 798.7 meV/atom
crystal system = tetragonal
ΔE to the lowest computed polymorph = 188 meV per atom
N(E_F) = 1.32 states/eV/atom

The structure in CIF format:
```
data_FeSiPS2
_chemical_formula_sum 'Fe1 Si1 P1 S2'
_cell_length_a 4.6533
_cell_length_b 4.6533
_cell_length_c 4.2818
_cell_angle_alpha 90.00
_cell_angle_beta 90.00
_cell_angle_gamma 90.00
_symmetry_space_group_name_H-M 'P 4/m m m'
_symmetry_Int_Tables_number 123
_symmetry_space_group_name_Hall '-P 4 2'
loop_
_atom_site_label
_atom_site_type_symbol
_atom_site_fract_x
_atom_site_fract_y
_atom_site_fract_z
_atom_site_occupancy
Fe1 Fe 0.0000 0.0000 0.0000 1
Si1 Si 0.5000 0.5000 0.0000 1
P1 P 0.0000 0.0000 0.5000 1
S1 S 0.0000 0.5000 0.5000 1
```

2.
Below is FeSiP2S after structural relaxation, with properties calculated at the PBE-GGA level.

formation energy without anion corrections = 600.6 meV/atom
crystal system = tetragonal
ΔE to the lowest computed polymorph = 0 meV per atom
N(E_F) = 0.63 states/eV/atom

The structure in CIF format:
```
data_FeSiP2S
_chemical_formula_sum 'Fe1 Si1 P2 S1'
_cell_length_a 4.1510
_cell_length_b 4.1510
_cell_length_c 5.0985
_cell_angle_alpha 90.00
_cell_angle_beta 90.00
_cell_angle_gamma 90.00
_symmetry_space_group_name_H-M 'P 4/m m m'
_symmetry_Int_Tables_number 123
_symmetry_space_group_name_Hall '-P 4 2'
loop_
_atom_site_label
_atom_site_type_symbol
_atom_site_fract_x
_atom_site_fract_y
_atom_site_fract_z
_atom_site_occupancy
Fe1 Fe 0.0000 0.0000 0.0000 1
Si1 Si 0.5000 0.5000 0.5000 1
P1 P 0.0000 0.5000 0.0000 1
S1 S 0.0000 0.0000 0.5000 1
```

3.
Below is FeSiPS2 after structural relaxation, with properties calculated at the PBE-GGA level.

formation energy without anion corrections = 610.4 meV/atom
crystal system = tetragonal
ΔE to the lowest computed polymorph = 0 meV per atom
N(E_F) = 1.03 states/eV/atom

The structure in CIF format:
```
data_FeSiPS2
_chemical_formula_sum 'Fe1 Si1 P1 S2'
_cell_length_a 4.6026
_cell_length_b 4.6026
_cell_length_c 4.1945
_cell_angle_alpha 90.00
_cell_angle_beta 90.00
_cell_angle_gamma 90.00
_symmetry_space_group_name_H-M 'P 4/m m m'
_symmetry_Int_Tables_number 123
_symmetry_space_group_name_Hall '-P 4 2'
loop_
_atom_site_label
_atom_site_type_symbol
_atom_site_fract_x
_atom_site_fract_y
_atom_site_fract_z
_atom_site_occupancy
Fe1 Fe 0.0000 0.0000 0.0000 1
Si1 Si 0.5000 0.5000 0.5000 1
P1 P 0.0000 0.0000 0.5000 1
S1 S 0.0000 0.5000 0.0000 1
```

4.
Below is SrFeP2S after structural relaxation, with properties calculated at the PBE-GGA level.

formation energy without anion corrections = 1836.4 meV/atom
crystal system = tetragonal
ΔE to the lowest computed polymorph = 2268 meV per atom
N(E_F) = 2.08 states/eV/atom

The structure in CIF format:
```
data_SrFeP2S
_chemical_formula_sum 'Sr1 Fe1 P2 S1'
_cell_length_a 5.3438
_cell_length_b 5.3438
_cell_length_c 5.3782
_cell_angle_alpha 90.00
_cell_angle_beta 90.00
_cell_angle_gamma 90.00
_symmetry_space_group_name_H-M 'P 4/m m m'
_symmetry_Int_Tables_number 123
_symmetry_space_group_name_Hall '-P 4 2'
loop_
_atom_site_label
_atom_site_type_symbol
_atom_site_fract_x
_atom_site_fract_y
_atom_site_fract_z
_atom_site_occupancy
Sr1 Sr 0.0000 0.0000 0.0000 1
Fe1 Fe 0.5000 0.5000 0.5000 1
P1 P 0.0000 0.5000 0.0000 1
S1 S 0.0000 0.0000 0.5000 1
```

5.
Below is SrFeP2S after structural relaxation, with properties calculated at the PBE-GGA level.

formation energy without anion corrections = -431.7 meV/atom
crystal system = tetragonal
ΔE to the lowest computed polymorph = 0 meV per atom
N(E_F) = 0.68 states/eV/atom

The structure in CIF format:
```
data_SrFeP2S
_chemical_formula_sum 'Sr1 Fe1 P2 S1'
_cell_length_a 4.2726
_cell_length_b 4.2726
_cell_length_c 5.4400
_cell_angle_alpha 90.00
_cell_angle_beta 90.00
_cell_angle_gamma 90.00
_symmetry_space_group_name_H-M 'P 4/m m m'
_symmetry_Int_Tables_number 123
_symmetry_space_group_name_Hall '-P 4 2'
loop_
_atom_site_label
_atom_site_type_symbol
_atom_site_fract_x
_atom_site_fract_y
_atom_site_fract_z
_atom_site_occupancy
Sr1 Sr 0.0000 0.0000 0.0000 1
Fe1 Fe 0.5000 0.5000 0.5000 1
P1 P 0.0000 0.5000 0.5000 1
S1 S 0.5000 0.5000 0.0000 1
```

6.
Below is TaFePS2 after structural relaxation, with properties calculated at the PBE-GGA level.

formation energy without anion corrections = 395.6 meV/atom
crystal system = tetragonal
ΔE to the lowest computed polymorph = 0 meV per atom
N(E_F) = 1.02 states/eV/atom

The structure in CIF format:
```
data_TaFePS2
_chemical_formula_sum 'Ta1 Fe1 P1 S2'
_cell_length_a 4.7107
_cell_length_b 4.7107
_cell_length_c 4.9493
_cell_angle_alpha 90.00
_cell_angle_beta 90.00
_cell_angle_gamma 90.00
_symmetry_space_group_name_H-M 'P 4/m m m'
_symmetry_Int_Tables_number 123
_symmetry_space_group_name_Hall '-P 4 2'
loop_
_atom_site_label
_atom_site_type_symbol
_atom_site_fract_x
_atom_site_fract_y
_atom_site_fract_z
_atom_site_occupancy
Ta1 Ta 0.0000 0.0000 0.0000 1
Fe1 Fe 0.5000 0.5000 0.5000 1
P1 P 0.0000 0.0000 0.5000 1
S1 S 0.0000 0.5000 0.0000 1
```

7.
Below is TaFePS2 after structural relaxation, with properties calculated at the PBE-GGA level.

formation energy without anion corrections = 606.2 meV/atom
crystal system = tetragonal
ΔE to the lowest computed polymorph = 211 meV per atom
N(E_F) = 1.25 states/eV/atom

The structure in CIF format:
```
data_TaFePS2
_chemical_formula_sum 'Ta1 Fe1 P1 S2'
_cell_length_a 4.3183
_cell_length_b 4.3183
_cell_length_c 4.3831
_cell_angle_alpha 90.00
_cell_angle_beta 90.00
_cell_angle_gamma 90.00
_symmetry_space_group_name_H-M 'P 4/m m m'
_symmetry_Int_Tables_number 123
_symmetry_space_group_name_Hall '-P 4 2'
loop_
_atom_site_label
_atom_site_type_symbol
_atom_site_fract_x
_atom_site_fract_y
_atom_site_fract_z
_atom_site_occupancy
Ta1 Ta 0.0000 0.0000 0.0000 1
Fe1 Fe 0.5000 0.5000 0.5000 1
P1 P 0.5000 0.5000 0.0000 1
S1 S 0.0000 0.5000 0.5000 1
```

8.
Below is FeTc2PS after structural relaxation, with properties calculated at the PBE-GGA level.

formation energy without anion corrections = 690.2 meV/atom
crystal system = tetragonal
N(E_F) = 1.45 states/eV/atom

The structure in CIF format:
```
data_FeTc2PS
_chemical_formula_sum 'Fe1 Tc2 P1 S1'
_cell_length_a 4.3924
_cell_length_b 4.3924
_cell_length_c 3.9579
_cell_angle_alpha 90.00
_cell_angle_beta 90.00
_cell_angle_gamma 90.00
_symmetry_space_group_name_H-M 'P 4/m m m'
_symmetry_Int_Tables_number 123
_symmetry_space_group_name_Hall '-P 4 2'
loop_
_atom_site_label
_atom_site_type_symbol
_atom_site_fract_x
_atom_site_fract_y
_atom_site_fract_z
_atom_site_occupancy
Fe1 Fe 0.0000 0.0000 0.0000 1
Tc1 Tc 0.0000 0.5000 0.5000 1
P1 P 0.5000 0.5000 0.0000 1
S1 S 0.0000 0.0000 0.5000 1
```

9.
Below is FeTcP2S after structural relaxation, with properties calculated at the PBE-GGA level.

formation energy without anion corrections = 857.4 meV/atom
crystal system = tetragonal
ΔE to the lowest computed polymorph = 44 meV per atom
N(E_F) = 1.14 states/eV/atom

The structure in CIF format:
```
data_FeTcP2S
_chemical_formula_sum 'Fe1 Tc1 P2 S1'
_cell_length_a 4.4417
_cell_length_b 4.4417
_cell_length_c 5.1729
_cell_angle_alpha 90.00
_cell_angle_beta 90.00
_cell_angle_gamma 90.00
_symmetry_space_group_name_H-M 'P 4/m m m'
_symmetry_Int_Tables_number 123
_symmetry_space_group_name_Hall '-P 4 2'
loop_
_atom_site_label
_atom_site_type_symbol
_atom_site_fract_x
_atom_site_fract_y
_atom_site_fract_z
_atom_site_occupancy
Fe1 Fe 0.0000 0.0000 0.0000 1
Tc1 Tc 0.5000 0.5000 0.5000 1
P1 P 0.0000 0.5000 0.5000 1
S1 S 0.5000 0.5000 0.0000 1
```

10.
Below is FeTcP2S after structural relaxation, with properties calculated at the PBE-GGA level.

formation energy without anion corrections = 813.4 meV/atom
crystal system = tetragonal
ΔE to the lowest computed polymorph = 0 meV per atom
N(E_F) = 0.90 states/eV/atom

The structure in CIF format:
```
data_FeTcP2S
_chemical_formula_sum 'Fe1 Tc1 P2 S1'
_cell_length_a 4.2969
_cell_length_b 4.2969
_cell_length_c 4.3745
_cell_angle_alpha 90.00
_cell_angle_beta 90.00
_cell_angle_gamma 90.00
_symmetry_space_group_name_H-M 'P 4/m m m'
_symmetry_Int_Tables_number 123
_symmetry_space_group_name_Hall '-P 4 2'
loop_
_atom_site_label
_atom_site_type_symbol
_atom_site_fract_x
_atom_site_fract_y
_atom_site_fract_z
_atom_site_occupancy
Fe1 Fe 0.0000 0.0000 0.0000 1
Tc1 Tc 0.5000 0.5000 0.5000 1
P1 P 0.0000 0.5000 0.0000 1
S1 S 0.0000 0.0000 0.5000 1
```

Among the records above, which one has the highest N(E_F)? number 4

What is the formula in the sixth record? TaFePS2